Arrangement P

A relaxed structure of Ba2PaN3, computed with PBE.

Cell: 7.073 7.073 7.073 Å, 149.95 136.43 53.83°
Element x y z (fractional)
1 Ba 0.160 0.160 0.000
2 Ba 0.840 0.840 0.000
3 Pa 0.500 0.500 0.000
4 N 0.000 0.500 0.500
5 N 0.391 0.891 0.500
6 N 0.609 0.109 0.500

Output
**M_tot**: 0.0 μB/f.u.
**Crystal system**: orthorhombic

=====

Arrangement Q

A relaxed structure of Ba2PaN3, computed with PBE.

Cell: 6.529 6.529 6.803 Å, 99.06 99.06 119.74°
Element x y z (fractional)
1 Ba 0.000 0.000 0.000
2 Ba 0.164 0.836 0.500
3 Ba 0.500 0.500 0.500
4 Ba 0.836 0.164 0.500
5 Pa 0.334 0.666 0.000
6 Pa 0.666 0.334 0.000
7 N 0.070 0.459 0.197
8 N 0.328 0.328 0.813
9 N 0.459 0.070 0.197
10 N 0.541 0.930 0.803
11 N 0.672 0.672 0.187
12 N 0.930 0.541 0.803

Output
**M_tot**: 0.0 μB/f.u.
**Crystal system**: monoclinic

=====

The calculated energies rank the structures as follows, beginning with the most stable: arrangement Q, arrangement P.